This record from the Alexandria database describes Tb3Pm2ErSe6 after structural relaxation. The functional is PBE.

abc: 17.939 4.102 8.286
angles: 90.00 103.20 90.00
Space group C2/m (No. 12)
Unique sites:
Tb (0.000, 0.000, 0.000) (multiplicity 2)
Tb (0.171, 0.500, 0.333) (multiplicity 4)
Pm (0.169, 0.500, 0.836) (multiplicity 4)
Er (0.000, 0.000, 0.500) (multiplicity 2)
Se (0.003, 0.500, 0.256) (multiplicity 4)
Se (0.163, 0.000, 0.088) (multiplicity 4)
Se (0.163, 0.000, 0.575) (multiplicity 4)

Properties
Formation energy without anion corrections: -1.780 eV/atom
Total magnetic moment: 0.00 μB per formula unit
Raw total energy: -5.8520 eV per atom


This record from the Alexandria database describes Tb2PmErSe6 after structural relaxation. The functional is PBE.

abc: 7.2637 7.2637 19.5360
angles: 90.00 90.00 120.00
Space group R3 (No. 146, hexagonal axes)
Unique sites:
Tb (0.0000, 0.0000, 0.0000) (multiplicity 3)
Tb (0.0000, 0.0000, 0.4974) (multiplicity 3)
Pm (0.0000, 0.0000, 0.1982) (multiplicity 3)
Er (0.0000, 0.0000, 0.6944) (multiplicity 3)
Se (0.0094, 0.7058, 0.5973) (multiplicity 9)
Se (0.0272, 0.3570, 0.7629) (multiplicity 9)

Properties
Formation energy without anion corrections: -1.849 eV/atom
Total magnetic moment: 0.00 μB per formula unit
Raw total energy: -5.7966 eV per atom


This record from the Alexandria database describes TbPm2ErSe5 after structural relaxation. The functional is PBE.

abc: 5.104 5.104 10.749
angles: 90.00 90.00 90.00
Space group P4/mmm (No. 123)
Unique sites:
Tb (0.000, 0.000, 0.000) (multiplicity 1)
Pm (0.500, 0.500, 0.326) (multiplicity 2)
Er (0.000, 0.000, 0.500) (multiplicity 1)
Se (0.000, 0.000, 0.247) (multiplicity 2)
Se (0.000, 0.500, 0.500) (multiplicity 2)
Se (0.500, 0.500, 0.000) (multiplicity 1)

Properties
Formation energy without anion corrections: -1.256 eV/atom
Total magnetic moment: 0.00 μB per formula unit
Raw total energy: -5.2689 eV per atom